Entry from the Alexandria database: a relaxed BeGaI2N crystal (PBE-GGA).

The structure in CIF format:
```
data_BeGaI2N
_symmetry_space_group_name_H-M 'P 1'
_symmetry_Int_Tables_number 1
_cell_length_a 6.6115
_cell_length_b 6.6115
_cell_length_c 3.0635
_cell_angle_alpha 90.00
_cell_angle_beta 90.00
_cell_angle_gamma 90.00
loop_
_symmetry_equiv_pos_as_xyz
'x,y,z'
loop_
_atom_site_label
_atom_site_fract_x
_atom_site_fract_y
_atom_site_fract_z
_atom_site_occupancy
I1 0.5000 0.0000 0.0000 1
I2 0.0000 0.5000 0.0000 1
Ga1 0.5000 0.5000 0.5000 1
Be1 0.0000 0.0000 0.0000 1
N1 0.0000 0.0000 0.5000 1
```

Output
- volume (Å³ per atom) = 26.8
- space-group type = No. 123
- formation energy (no corrections) (eV per atom) = 0.2438
- excess energy over the best structure of this formula in the dataset (eV/f.u.) = 0.00

=====

Entry from the Alexandria database: a relaxed BeGaI2N crystal (PBE-GGA).

The structure in CIF format:
```
data_BeGaI2N
_symmetry_space_group_name_H-M 'P 1'
_symmetry_Int_Tables_number 1
_cell_length_a 5.7326
_cell_length_b 5.7326
_cell_length_c 3.6741
_cell_angle_alpha 90.00
_cell_angle_beta 90.00
_cell_angle_gamma 90.00
loop_
_symmetry_equiv_pos_as_xyz
'x,y,z'
loop_
_atom_site_label
_atom_site_fract_x
_atom_site_fract_y
_atom_site_fract_z
_atom_site_occupancy
N1 0.0000 0.0000 0.5000 1
I1 0.5000 0.0000 0.0000 1
Be1 0.5000 0.5000 0.5000 1
Ga1 0.0000 0.0000 0.0000 1
I2 0.0000 0.5000 0.0000 1
```

Output
- volume (Å³ per atom) = 24.1
- space-group type = No. 123
- formation energy (no corrections) (eV per atom) = 0.9177
- excess energy over the best structure of this formula in the dataset (eV/f.u.) = 3.37

=====

Entry from the Alexandria database: a relaxed BeNbGaI2 crystal (PBE-GGA).

The structure in CIF format:
```
data_BeNbGaI2
_symmetry_space_group_name_H-M 'P 1'
_symmetry_Int_Tables_number 1
_cell_length_a 5.3427
_cell_length_b 4.6893
_cell_length_c 5.3427
_cell_angle_alpha 90.00
_cell_angle_beta 90.00
_cell_angle_gamma 90.00
loop_
_symmetry_equiv_pos_as_xyz
'x,y,z'
loop_
_atom_site_label
_atom_site_fract_x
_atom_site_fract_y
_atom_site_fract_z
_atom_site_occupancy
Be1 0.0000 0.0000 0.0000 1
Ga1 0.5000 0.5000 0.5000 1
Nb1 0.0000 0.5000 0.0000 1
I1 0.0000 0.0000 0.5000 1
I2 0.5000 0.0000 0.0000 1
```

Output
- volume (Å³ per atom) = 26.8
- space-group type = No. 123
- formation energy (no corrections) (eV per atom) = 0.8522

=====

Entry from the Alexandria database: a relaxed BeGaPt2I crystal (PBE-GGA).

The structure in CIF format:
```
data_BeGaPt2I
_symmetry_space_group_name_H-M 'P 1'
_symmetry_Int_Tables_number 1
_cell_length_a 5.1432
_cell_length_b 4.4629
_cell_length_c 5.1432
_cell_angle_alpha 90.00
_cell_angle_beta 90.00
_cell_angle_gamma 90.00
loop_
_symmetry_equiv_pos_as_xyz
'x,y,z'
loop_
_atom_site_label
_atom_site_fract_x
_atom_site_fract_y
_atom_site_fract_z
_atom_site_occupancy
Pt1 0.5000 0.0000 0.0000 1
Be1 0.0000 0.5000 0.0000 1
Ga1 0.5000 0.5000 0.5000 1
Pt2 0.0000 0.0000 0.5000 1
I1 0.0000 0.0000 0.0000 1
```

Output
- volume (Å³ per atom) = 23.6
- space-group type = No. 123
- formation energy (no corrections) (eV per atom) = 1.1520

=====

Entry from the Alexandria database: a relaxed Rb2BeGaI6 crystal (PBE-GGA).

The structure in CIF format:
```
data_Rb2BeGaI6
_symmetry_space_group_name_H-M 'P 1'
_symmetry_Int_Tables_number 1
_cell_length_a 8.0623
_cell_length_b 8.0623
_cell_length_c 8.0907
_cell_angle_alpha 60.12
_cell_angle_beta 60.12
_cell_angle_gamma 90.00
loop_
_symmetry_equiv_pos_as_xyz
'x,y,z'
loop_
_atom_site_label
_atom_site_fract_x
_atom_site_fract_y
_atom_site_fract_z
_atom_site_occupancy
I1 0.2582 0.2582 0.4836 1
Be1 0.5000 0.5000 0.0000 1
I2 0.2609 0.7391 0.0000 1
Ga1 0.0000 0.0000 0.0000 1
I3 0.7418 0.7418 0.5164 1
Rb1 0.2500 0.7500 0.5000 1
I4 0.2609 0.2609 0.0000 1
I5 0.7391 0.2609 0.0000 1
Rb2 0.7500 0.2500 0.5000 1
I6 0.7391 0.7391 0.0000 1
```

Output
- volume (Å³ per atom) = 37.3
- space-group type = No. 139
- formation energy (no corrections) (eV per atom) = -0.7172

=====

Entry from the Alexandria database: a relaxed RbBeGa2I crystal (PBE-GGA).

The structure in CIF format:
```
data_RbBeGa2I
_symmetry_space_group_name_H-M 'P 1'
_symmetry_Int_Tables_number 1
_cell_length_a 6.5981
_cell_length_b 6.5991
_cell_length_c 6.5981
_cell_angle_alpha 90.00
_cell_angle_beta 90.00
_cell_angle_gamma 90.00
loop_
_symmetry_equiv_pos_as_xyz
'x,y,z'
loop_
_atom_site_label
_atom_site_fract_x
_atom_site_fract_y
_atom_site_fract_z
_atom_site_occupancy
Ga1 0.0000 0.0000 0.5000 1
Be1 0.5000 0.5000 0.5000 1
I1 0.0000 0.5000 0.0000 1
Rb1 0.0000 0.0000 0.0000 1
Ga2 0.5000 0.0000 0.0000 1
```

Output
- volume (Å³ per atom) = 57.5
- space-group type = No. 123
- formation energy (no corrections) (eV per atom) = 1.1172

=====

Entry from the Alexandria database: a relaxed RbBeGaI4 crystal (PBE-GGA).

The structure in CIF format:
```
data_RbBeGaI4
_symmetry_space_group_name_H-M 'P 1'
_symmetry_Int_Tables_number 1
_cell_length_a 7.5705
_cell_length_b 8.0007
_cell_length_c 9.8886
_cell_angle_alpha 90.00
_cell_angle_beta 108.66
_cell_angle_gamma 90.00
loop_
_symmetry_equiv_pos_as_xyz
'x,y,z'
loop_
_atom_site_label
_atom_site_fract_x
_atom_site_fract_y
_atom_site_fract_z
_atom_site_occupancy
I1 0.9908 0.4937 0.7336 1
Be1 0.7899 0.2500 0.6868 1
Ga1 0.7624 0.7500 0.4568 1
I2 0.5927 0.2500 0.4400 1
Be2 0.2101 0.7500 0.3132 1
Ga2 0.2376 0.2500 0.5432 1
Rb1 0.2651 0.2500 0.0659 1
I3 0.4006 0.7500 0.1545 1
I4 0.0092 0.5063 0.2664 1
I5 0.5994 0.2500 0.8455 1
Rb2 0.7349 0.7500 0.9341 1
I6 0.0092 0.9937 0.2664 1
I7 0.4073 0.7500 0.5600 1
I8 0.9908 0.0063 0.7336 1
```

Output
- volume (Å³ per atom) = 40.5
- space-group type = No. 11
- formation energy (no corrections) (eV per atom) = -0.7665

=====

Entry from the Alexandria database: a relaxed BeGaRuI2 crystal (PBE-GGA).

The structure in CIF format:
```
data_BeGaRuI2
_symmetry_space_group_name_H-M 'P 1'
_symmetry_Int_Tables_number 1
_cell_length_a 5.4243
_cell_length_b 4.6828
_cell_length_c 5.4243
_cell_angle_alpha 90.00
_cell_angle_beta 90.00
_cell_angle_gamma 90.00
loop_
_symmetry_equiv_pos_as_xyz
'x,y,z'
loop_
_atom_site_label
_atom_site_fract_x
_atom_site_fract_y
_atom_site_fract_z
_atom_site_occupancy
Ru1 0.0000 0.0000 0.0000 1
Ga1 0.0000 0.5000 0.0000 1
Be1 0.5000 0.5000 0.5000 1
I1 0.0000 0.0000 0.5000 1
I2 0.5000 0.0000 0.0000 1
```

Output
- volume (Å³ per atom) = 27.6
- space-group type = No. 123
- formation energy (no corrections) (eV per atom) = 0.7933

=====

Entry from the Alexandria database: a relaxed BeGaSeI2 crystal (PBE-GGA).

The structure in CIF format:
```
data_BeGaSeI2
_symmetry_space_group_name_H-M 'P 1'
_symmetry_Int_Tables_number 1
_cell_length_a 5.6758
_cell_length_b 4.9068
_cell_length_c 5.6758
_cell_angle_alpha 90.00
_cell_angle_beta 90.00
_cell_angle_gamma 90.00
loop_
_symmetry_equiv_pos_as_xyz
'x,y,z'
loop_
_atom_site_label
_atom_site_fract_x
_atom_site_fract_y
_atom_site_fract_z
_atom_site_occupancy
I1 0.5000 0.0000 0.0000 1
Be1 0.5000 0.5000 0.5000 1
Se1 0.0000 0.5000 0.0000 1
I2 0.0000 0.0000 0.5000 1
Ga1 0.0000 0.0000 0.0000 1
```

Output
- volume (Å³ per atom) = 31.6
- space-group type = No. 123
- formation energy (no corrections) (eV per atom) = 0.6080

=====

Entry from the Alexandria database: a relaxed BeGa2SiI crystal (PBE-GGA).

The structure in CIF format:
```
data_BeGa2SiI
_symmetry_space_group_name_H-M 'P 1'
_symmetry_Int_Tables_number 1
_cell_length_a 5.0568
_cell_length_b 4.2637
_cell_length_c 5.0568
_cell_angle_alpha 90.00
_cell_angle_beta 90.00
_cell_angle_gamma 90.00
loop_
_symmetry_equiv_pos_as_xyz
'x,y,z'
loop_
_atom_site_label
_atom_site_fract_x
_atom_site_fract_y
_atom_site_fract_z
_atom_site_occupancy
Be1 0.0000 0.0000 0.0000 1
Ga1 0.5000 0.0000 0.0000 1
Ga2 0.0000 0.0000 0.5000 1
Si1 0.0000 0.5000 0.0000 1
I1 0.5000 0.5000 0.5000 1
```

Output
- volume (Å³ per atom) = 21.8
- space-group type = No. 123
- formation energy (no corrections) (eV per atom) = 0.3382

=====

Entry from the Alexandria database: a relaxed BeGaSn2I crystal (PBE-GGA).

The structure in CIF format:
```
data_BeGaSn2I
_symmetry_space_group_name_H-M 'P 1'
_symmetry_Int_Tables_number 1
_cell_length_a 5.6850
_cell_length_b 4.2946
_cell_length_c 5.6850
_cell_angle_alpha 90.00
_cell_angle_beta 90.00
_cell_angle_gamma 90.00
loop_
_symmetry_equiv_pos_as_xyz
'x,y,z'
loop_
_atom_site_label
_atom_site_fract_x
_atom_site_fract_y
_atom_site_fract_z
_atom_site_occupancy
I1 0.5000 0.5000 0.5000 1
Ga1 0.0000 0.0000 0.0000 1
Sn1 0.5000 0.0000 0.0000 1
Sn2 0.0000 0.0000 0.5000 1
Be1 0.0000 0.5000 0.0000 1
```

Output
- volume (Å³ per atom) = 27.8
- space-group type = No. 123
- formation energy (no corrections) (eV per atom) = 0.3829

=====

Entry from the Alexandria database: a relaxed BeGaTe2I crystal (PBE-GGA).

The structure in CIF format:
```
data_BeGaTe2I
_symmetry_space_group_name_H-M 'P 1'
_symmetry_Int_Tables_number 1
_cell_length_a 5.4305
_cell_length_b 5.4305
_cell_length_c 5.5042
_cell_angle_alpha 90.00
_cell_angle_beta 90.00
_cell_angle_gamma 90.00
loop_
_symmetry_equiv_pos_as_xyz
'x,y,z'
loop_
_atom_site_label
_atom_site_fract_x
_atom_site_fract_y
_atom_site_fract_z
_atom_site_occupancy
I1 0.0000 0.0000 0.5000 1
Te1 0.5000 0.0000 0.0000 1
Be1 0.5000 0.5000 0.5000 1
Te2 0.0000 0.5000 0.0000 1
Ga1 0.0000 0.0000 0.0000 1
```

Output
- volume (Å³ per atom) = 32.5
- space-group type = No. 123
- formation energy (no corrections) (eV per atom) = 0.7825
- excess energy over the best structure of this formula in the dataset (eV/f.u.) = 2.97

=====

| no. | DOS(E_F) (states/eV per atom) |
| --- | --- |
| 1 | 0.3824 |
| 2 | 0.5103 |
| 3 | 0.5685 |
| 4 | 0.4634 |
| 5 | 0.2289 |
| 6 | 0.9986 |
| 7 | 0.0000 |
| 8 | 0.7741 |
| 9 | 0.5867 |
| 10 | 0.3791 |
| 11 | 0.4672 |
| 12 | 0.9187 |